A relaxed TaFeSiNi crystal. Source: Alexandria, functional PBE-GGA.

Cell: 4.159 4.159 4.159 Å, 60.00 60.00 60.00°
Site moments in Bohr magnetons follow the coordinates.
Positions (direct):
Ni: 0.500 0.500 0.500  0.29
Si: 0.750 0.750 0.750  0.02
Fe: 0.000 0.000 0.000  0.59
Ta: 0.250 0.250 0.250  -0.02

Space group: F-43m (216)
E_form (uncorrected) (kJ per mole of atoms): -30.7
N(E_F) (states/eV/f.u.): 3.72
Final energy (eV/atom): -8.198